PmSc6: relaxed, PBE.

abc: 6.351 6.351 6.351
angles: 109.47 109.47 109.47
Positions (direct):
1 Sc 0.250 0.750 0.500
2 Sc 0.250 0.500 0.750
3 Sc 0.750 0.500 0.250
4 Sc 0.500 0.250 0.750
5 Sc 0.500 0.750 0.250
6 Pm 0.000 0.000 0.000
7 Sc 0.750 0.250 0.500

Output
* space-group type: Im-3m, No. 229
* formation enthalpy at 0 K: 1.247 eV per atom
* spin magnetization: 0.0 μB/cell
* total DFT energy (no corrections): -4.8587 eV/atom